Here is a relaxed Mg4ReOs crystal from Alexandria. Energies are from PBE.

As for the magnetization: 0.004 μB per atom. Its theoretical density is 7.98 g/cm³. As for the crystal system: cubic. Its final energy is -101.1 eV for the cell shown.

The structure belongs to space group F-43m (No. 216); the cell edges are 7.333, 7.333 and 7.333 Å and the angles 90.00°, 90.00° and 90.00°. The distinct sites, in fractional coordinates, are Mg at (0.125, 0.125, 0.125), Re at (0.000, 0.000, 0.500) and Os at (0.250, 0.250, 0.750).

***

Here is a relaxed Mg2ReOs crystal from Alexandria. Energies are from PBE.

As for the magnetization: 0.000 μB per atom. The energy above the most stable polymorph in this dataset is 229 meV per atom. Its theoretical density is 11.25 g/cm³. As for the crystal system: monoclinic.

The structure belongs to space group C2/m (No. 12); the cell edges are 5.389, 9.104 and 2.708 Å and the angles 90.00°, 109.17° and 90.00°. The distinct sites, in fractional coordinates, are Mg at (0.250, 0.250, 0.000), Re at (0.000, 0.000, 0.500) and Os at (0.000, 0.500, 0.500).

***

Here is a relaxed Mg2ReOs crystal from Alexandria. Energies are from PBE.

As for the magnetization: 0.000 μB per atom. The energy above the most stable polymorph in this dataset is 237 meV per atom. Its theoretical density is 11.24 g/cm³. As for the crystal system: orthorhombic.

The structure belongs to space group Cmmm (No. 65); the cell edges are 3.176, 4.382 and 9.027 Å and the angles 90.00°, 90.00° and 90.00°. The distinct sites, in fractional coordinates, are Mg at (0.000, 0.000, 0.245), Re at (0.000, 0.500, 0.500) and Os at (0.000, 0.500, 0.000).

***

Here is a relaxed Mg2ReOs2 crystal from Alexandria. Energies are from PBE.

As for the magnetization: 0.158 μB per atom. The energy above the most stable polymorph in this dataset is 0 meV per atom. Its theoretical density is 13.12 g/cm³. As for the crystal system: tetragonal.

The structure belongs to space group P4/mbm (No. 127); the cell edges are 7.628, 7.628 and 2.678 Å and the angles 90.00°, 90.00° and 90.00°. The distinct sites, in fractional coordinates, are Mg at (0.118, 0.382, 0.000), Re at (0.000, 0.000, 0.000) and Os at (0.183, 0.683, 0.500).

***

Here is a relaxed MgReOs3 crystal from Alexandria. Energies are from PBE.

As for the magnetization: 0.000 μB per atom. Its theoretical density is 12.31 g/cm³. As for the crystal system: cubic. Its final energy is -38.4 eV for the cell shown.

The structure belongs to space group Pm-3m (No. 221); the cell edges are 4.723, 4.723 and 4.723 Å and the angles 90.00°, 90.00° and 90.00°. The distinct sites, in fractional coordinates, are Mg at (0.000, 0.000, 0.000), Re at (0.500, 0.500, 0.500) and Os at (0.000, 0.500, 0.500).

***

Here is a relaxed Mg2ReOs crystal from Alexandria. Energies are from PBE.

As for the magnetization: 0.000 μB per atom. The energy above the most stable polymorph in this dataset is 323 meV per atom. Its theoretical density is 11.07 g/cm³. As for the crystal system: orthorhombic.

The structure belongs to space group Cmmm (No. 65); the cell edges are 5.242, 8.852 and 2.747 Å and the angles 90.00°, 90.00° and 90.00°. The distinct sites, in fractional coordinates, are Mg at (0.250, 0.250, 0.000), Re at (0.000, 0.000, 0.500) and Os at (0.000, 0.500, 0.500).

***

Here is a relaxed MgRe2Os2 crystal from Alexandria. Energies are from PBE.

As for the magnetization: 0.000 μB per atom. The energy above the most stable polymorph in this dataset is 160 meV per atom. Its theoretical density is 14.08 g/cm³. As for the crystal system: tetragonal.

The structure belongs to space group I4/mmm (No. 139); the cell edges are 4.207, 4.207 and 10.358 Å and the angles 90.00°, 90.00° and 90.00°. The distinct sites, in fractional coordinates, are Mg at (0.000, 0.000, 0.000), Re at (0.000, 0.500, 0.250) and Os at (0.000, 0.000, 0.382).

***

Here is a relaxed Mg2ReOs crystal from Alexandria. Energies are from PBE.

As for the magnetization: 0.000 μB per atom. The energy above the most stable polymorph in this dataset is 228 meV per atom. Its theoretical density is 11.25 g/cm³. As for the crystal system: orthorhombic.

The structure belongs to space group Pmmm (No. 47); the cell edges are 3.115, 4.407 and 4.570 Å and the angles 90.00°, 90.00° and 90.00°. The distinct sites, in fractional coordinates, are Mg at (0.000, 0.000, 0.000), Mg at (0.500, 0.500, 0.000), Re at (0.000, 0.500, 0.500) and Os at (0.500, 0.000, 0.500).

***

Here is a relaxed Mg2ReOs crystal from Alexandria. Energies are from PBE.

As for the magnetization: 0.000 μB per atom. The energy above the most stable polymorph in this dataset is 266 meV per atom. Its theoretical density is 10.59 g/cm³. As for the crystal system: orthorhombic.

The structure belongs to space group Cmm2 (No. 35); the cell edges are 3.018, 4.676 and 9.446 Å and the angles 90.00°, 90.00° and 90.00°. The distinct sites, in fractional coordinates, are Mg at (0.000, 0.000, 0.000), Mg at (0.000, 0.500, 0.284), Re at (0.000, 0.000, 0.534) and Os at (0.000, 0.500, 0.757).

***

Here is a relaxed MgRe2Os2 crystal from Alexandria. Energies are from PBE.

As for the magnetization: 0.000 μB per atom. The energy above the most stable polymorph in this dataset is 8 meV per atom. Its theoretical density is 15.81 g/cm³. As for the crystal system: tetragonal.

The structure belongs to space group P4/mbm (No. 127); the cell edges are 7.686, 7.686 and 2.763 Å and the angles 90.00°, 90.00° and 90.00°. The distinct sites, in fractional coordinates, are Mg at (0.000, 0.000, 0.000), Re at (0.122, 0.378, 0.000) and Os at (0.168, 0.668, 0.500).

***

Here is a relaxed Mg2ReOs crystal from Alexandria. Energies are from PBE.

As for the magnetization: 0.369 μB per atom. The energy above the most stable polymorph in this dataset is 689 meV per atom. Its theoretical density is 11.32 g/cm³. As for the crystal system: cubic.

The structure belongs to space group Fm-3m (No. 225); the cell edges are 6.294, 6.294 and 6.294 Å and the angles 90.00°, 90.00° and 90.00°. The distinct sites, in fractional coordinates, are Mg at (0.250, 0.250, 0.250), Re at (0.000, 0.000, 0.000) and Os at (0.000, 0.000, 0.500).

***

Here is a relaxed Mg2ReOs crystal from Alexandria. Energies are from PBE.

As for the magnetization: 0.000 μB per atom. The energy above the most stable polymorph in this dataset is 0 meV per atom. Its theoretical density is 10.60 g/cm³. As for the crystal system: tetragonal.

The structure belongs to space group P4mm (No. 99); the cell edges are 2.999, 2.999 and 7.402 Å and the angles 90.00°, 90.00° and 90.00°. The distinct sites, in fractional coordinates, are Mg at (0.000, 0.000, 0.000), Mg at (0.500, 0.500, 0.304), Re at (0.500, 0.500, 0.750) and Os at (0.000, 0.000, 0.543).